Entry i
This record from Alexandria describes crystalline K2NaHgS at its relaxed geometry. The functional is PBE.

Properties
- Magnetic moment: 0.05 μB/cell
- Space-group type: P4/mmm (123)

Lattice parameters (Å, degrees): 6.1699 6.1699 5.2891 90.00 90.00 90.00
With the nearest neighbours (Å) after each atom.
Element x y z (fractional)
S 0.0000 0.0000 0.0000  2 Na 2.64
Na 0.0000 0.0000 0.5000  2 S 2.64
K 0.0000 0.5000 0.0000  2 S 3.08
K 0.5000 0.0000 0.0000  2 S 3.08
Hg 0.5000 0.5000 0.5000  8 K 4.06, 4 Na 4.36



Entry ii
This record from Alexandria describes crystalline K2NaHgS at its relaxed geometry. The functional is PBE.

Properties
- Magnetic moment: 0.00 μB/cell
- Space-group type: P4/mmm (123)

Lattice parameters (Å, degrees): 6.4382 4.8497 6.4382 90.00 90.00 90.00
With the nearest neighbours (Å) after each atom.
Element x y z (fractional)
S 0.0000 0.5000 0.0000  2 Na 2.42
Na 0.0000 0.0000 0.0000  2 S 2.42
K 0.0000 0.0000 0.5000  2 Na 3.22
K 0.5000 0.0000 0.0000  2 Na 3.22
Hg 0.5000 0.5000 0.5000  8 K 4.03



Calculated relative energies: entry i 0; entry ii 274, given in meV/atom